(1)
First-principles (PBE) data for a relaxed structure of Zr2Cd2Te, as listed in the Alexandria database.

Results
- space group = No. 139
- Fermi-level density of states (states/eV/atom) = 0.93
- crystal system = tetragonal
- E above lowest polymorph (eV per atom) = 0.500

Lattice parameters (Å, degrees): 4.0984 4.0984 15.3636 90.00 90.00 90.00
With the nearest neighbours (Å) after each atom.
Fractional positions:
Zr (0.0000, 0.5000, 0.2500)  4 Zr 2.90, 4 Cd 3.14
Zr (0.0000, 0.5000, 0.7500)  4 Zr 2.90, 4 Cd 3.14
Zr (0.5000, 0.0000, 0.2500)  4 Zr 2.90, 4 Cd 3.14
Zr (0.5000, 0.0000, 0.7500)  4 Zr 2.90, 4 Cd 3.14
Cd (0.0000, 0.0000, 0.0953)  1 Cd 2.93, 4 Zr 3.14, 4 Te 3.25
Cd (0.0000, 0.0000, 0.9047)  1 Cd 2.93, 4 Zr 3.14, 4 Te 3.25
Cd (0.5000, 0.5000, 0.4047)  1 Cd 2.93, 4 Zr 3.14, 4 Te 3.25
Cd (0.5000, 0.5000, 0.5953)  1 Cd 2.93, 4 Zr 3.14, 4 Te 3.25
Te (0.0000, 0.0000, 0.5000)  8 Cd 3.25
Te (0.5000, 0.5000, 0.0000)  8 Cd 3.25



(2)
First-principles (PBE) data for a relaxed structure of ZrReCl, as listed in the Alexandria database.

Results
- space group = No. 216
- Fermi-level density of states (states/eV/atom) = 0.83
- crystal system = cubic
- E above lowest polymorph (eV per atom) = 0.989

Lattice parameters (Å, degrees): 6.4264 6.4264 6.4264 90.00 90.00 90.00
With the nearest neighbours (Å) after each atom.
Fractional positions:
Zr (0.0000, 0.0000, 0.0000)  4 Cl 2.78, 4 Re 2.78
Zr (0.0000, 0.5000, 0.5000)  4 Cl 2.78, 4 Re 2.78
Zr (0.5000, 0.0000, 0.5000)  4 Cl 2.78, 4 Re 2.78
Zr (0.5000, 0.5000, 0.0000)  4 Cl 2.78, 4 Re 2.78
Re (0.2500, 0.2500, 0.2500)  4 Zr 2.78
Re (0.2500, 0.7500, 0.7500)  4 Zr 2.78
Re (0.7500, 0.2500, 0.7500)  4 Zr 2.78
Re (0.7500, 0.7500, 0.2500)  4 Zr 2.78
Cl (0.2500, 0.2500, 0.7500)  4 Zr 2.78
Cl (0.2500, 0.7500, 0.2500)  4 Zr 2.78
Cl (0.7500, 0.2500, 0.2500)  4 Zr 2.78
Cl (0.7500, 0.7500, 0.7500)  4 Zr 2.78



Copy entry 2 word for word.
First-principles (PBE) data for a relaxed structure of ZrReCl, as listed in the Alexandria database.

Results
- space group = No. 216
- Fermi-level density of states (states/eV/atom) = 0.83
- crystal system = cubic
- E above lowest polymorph (eV per atom) = 0.989

Lattice parameters (Å, degrees): 6.4264 6.4264 6.4264 90.00 90.00 90.00
With the nearest neighbours (Å) after each atom.
Fractional positions:
Zr (0.0000, 0.0000, 0.0000)  4 Cl 2.78, 4 Re 2.78
Zr (0.0000, 0.5000, 0.5000)  4 Cl 2.78, 4 Re 2.78
Zr (0.5000, 0.0000, 0.5000)  4 Cl 2.78, 4 Re 2.78
Zr (0.5000, 0.5000, 0.0000)  4 Cl 2.78, 4 Re 2.78
Re (0.2500, 0.2500, 0.2500)  4 Zr 2.78
Re (0.2500, 0.7500, 0.7500)  4 Zr 2.78
Re (0.7500, 0.2500, 0.7500)  4 Zr 2.78
Re (0.7500, 0.7500, 0.2500)  4 Zr 2.78
Cl (0.2500, 0.2500, 0.7500)  4 Zr 2.78
Cl (0.2500, 0.7500, 0.2500)  4 Zr 2.78
Cl (0.7500, 0.2500, 0.2500)  4 Zr 2.78
Cl (0.7500, 0.7500, 0.7500)  4 Zr 2.78



Fermi-level density of states of number 2 (ZrReCl)? 0.83 states/eV/atom



Among the records above, which one has the lowest Fermi-level density of states? ZrReCl



Which formula does entry 1 have? Zr2Cd2Te